[1]
Computed, not measured: an optimized crystal structure of Ca2GaH6 at the PBE-GGA level of DFT.

Unit cell a=5.1204 b=5.1204 c=5.1204 alpha=60.00 beta=60.00 gamma=60.00
Element x y z (fractional)
Ca (0.7500, 0.7500, 0.7500)
Ca (0.2500, 0.2500, 0.2500)
Ga (0.0000, 0.0000, 0.0000)
H (0.2489, 0.7511, 0.7511)
H (0.7511, 0.7511, 0.2489)
H (0.7511, 0.2489, 0.7511)
H (0.7511, 0.2489, 0.2489)
H (0.2489, 0.2489, 0.7511)
H (0.2489, 0.7511, 0.2489)

Results
VASP energy: -0.2331 Ry per atom
space-group type: Fm-3m, No. 225

=====

[2]
Computed, not measured: an optimized crystal structure of Ca2GaHgH at the PBE-GGA level of DFT.

Unit cell a=5.1958 b=5.1958 c=3.8828 alpha=90.00 beta=90.00 gamma=90.00
Element x y z (fractional)
H (0.0000, 0.0000, 0.0000)
Ca (0.0000, 0.5000, 0.0000)
Ca (0.5000, 0.0000, 0.0000)
Hg (0.5000, 0.5000, 0.5000)
Ga (0.0000, 0.0000, 0.5000)

Results
VASP energy: -0.1850 Ry per atom
space-group type: P4/mmm, No. 123

=====

[3]
Computed, not measured: an optimized crystal structure of CaGaH6Ir2 at the PBE-GGA level of DFT.

Unit cell a=4.4245 b=4.4245 c=6.1560 alpha=68.94 beta=68.94 gamma=60.00
Element x y z (fractional)
Ca (0.0000, 0.0000, 0.0000)
Ga (0.5000, 0.5000, 0.5000)
H (0.0451, 0.5658, 0.8234)
H (0.5658, 0.0451, 0.8234)
H (0.4342, 0.4342, 0.1766)
H (0.9549, 0.4342, 0.1766)
H (0.4342, 0.9549, 0.1766)
H (0.5658, 0.5658, 0.8234)
Ir (0.7899, 0.7899, 0.6302)
Ir (0.2101, 0.2101, 0.3698)

Results
VASP energy: -0.3380 Ry per atom
space-group type: R-3m, No. 166

=====

[4]
Computed, not measured: an optimized crystal structure of Ca2GaHIr at the PBE-GGA level of DFT.

Unit cell a=4.9493 b=4.9493 c=3.6912 alpha=90.00 beta=90.00 gamma=90.00
Element x y z (fractional)
H (0.0000, 0.0000, 0.0000)
Ca (0.0000, 0.5000, 0.0000)
Ca (0.5000, 0.0000, 0.0000)
Ir (0.0000, 0.0000, 0.5000)
Ga (0.5000, 0.5000, 0.5000)

Results
VASP energy: -0.3116 Ry per atom
space-group type: P4/mmm, No. 123

=====

[5]
Computed, not measured: an optimized crystal structure of KCaGaH6 at the PBE-GGA level of DFT.

Unit cell a=5.4038 b=5.4038 c=5.4237 alpha=90.00 beta=90.00 gamma=59.99
Element x y z (fractional)
K (0.0000, 0.0000, 0.0000)
Ca (0.6666, 0.6667, 0.5000)
Ga (0.3333, 0.3333, 0.5000)
H (0.0574, 0.3518, 0.3077)
H (0.3517, 0.0574, 0.6923)
H (0.5908, 0.3518, 0.6923)
H (0.0573, 0.5909, 0.6922)
H (0.3518, 0.5909, 0.3077)
H (0.5909, 0.0573, 0.3077)

Results
VASP energy: -0.2254 Ry per atom
space-group type: P312, No. 149

=====

[6]
Computed, not measured: an optimized crystal structure of Li2CaGaH at the PBE-GGA level of DFT.

Unit cell a=4.2771 b=4.2771 c=4.7649 alpha=90.00 beta=90.00 gamma=90.00
Element x y z (fractional)
H (0.0000, 0.0000, 0.0000)
Ca (0.0000, 0.0000, 0.5000)
Ga (0.5000, 0.5000, 0.5000)
Li (0.0000, 0.5000, 0.0000)
Li (0.5000, 0.0000, 0.0000)

Results
VASP energy: -0.1987 Ry per atom
space-group type: P4/mmm, No. 123